NdMnTe3 | PBE-GGA | optimized geometry

```
10
Lattice="4.2774 0.0000 0.0000 0.0000 7.8369 0.4830 0.0000 -1.1470 8.6799" Properties=species:S:1:pos:R:3 pbc="T T T"
Nd 1.0694 2.7108 2.0152
Nd 3.2081 3.9791 7.1477
Mn 1.0694 6.2767 3.3631
Mn 3.2080 0.4132 5.7998
Te 3.2081 4.4524 3.8438
Te 1.0693 2.2375 5.3191
Te 3.2080 0.9755 8.4285
Te 1.0693 6.3444 6.1527
Te 1.0694 5.7145 0.7344
Te 3.2081 0.3455 3.0102
```

## Properties
The total magnetization comes out at 8.00 μB/cell. The energy above the most stable polymorph in this dataset is 0 meV/atom. As for the space group: P2_1/m. As for the total energy: -5.45 eV/atom.